DFT (GGA-PBE) results for an optimized crystal structure of Ce2PrRu2.

abc: 6.6309 6.1670 6.4977
angles: 90.00 114.51 90.00
Last column: nearest neighbours and their distance in Å.
Fractional coordinates of all 10 atoms:
1 Ce 0.0000 0.2417 0.0000  2 Ru 2.54
2 Ce 0.0000 0.7583 0.0000  2 Ru 2.54
3 Ce 0.5000 0.2583 0.0000  2 Ru 2.54
4 Ce 0.5000 0.7417 0.0000  2 Ru 2.54
5 Pr 0.0000 0.0000 0.5000  6 Ru 3.34-3.36, 4 Ce 3.57
6 Pr 0.5000 0.5000 0.5000  6 Ru 3.34-3.36, 4 Ce 3.57
7 Ru 0.0529 0.5000 0.7212  2 Ce 2.54, 1 Ru 2.66
8 Ru 0.4471 0.0000 0.2788  2 Ce 2.54, 1 Ru 2.66
9 Ru 0.5529 0.0000 0.7212  2 Ce 2.54, 1 Ru 2.66
10 Ru 0.9471 0.5000 0.2788  2 Ce 2.54, 1 Ru 2.66

Output
The density of states at the Fermi level comes out at 7.4 states/eV/f.u. The energy of formation comes out at -0.84 eV/f.u. As for the space group: No. 12.